1.
Entry from the Alexandria database: Hf3N4 after structural relaxation (GGA-PBEsol).

Structure (POSCAR):
```
Hf3N4
1.0
-0.143 -6.276 0.971
4.864 -2.877 2.901
-0.715 -2.288 5.882
N Hf
8 6
direct
0.883 0.351 0.883 N
0.351 0.883 0.883 N
0.367 0.899 0.367 N
0.899 0.367 0.367 N
0.883 0.883 0.351 N
0.367 0.367 0.899 N
0.367 0.367 0.367 N
0.883 0.883 0.883 N
0.625 0.125 0.125 Hf
0.125 0.625 0.125 Hf
0.125 0.125 0.625 Hf
0.500 0.500 0.500 Hf
0.750 0.750 0.750 Hf
0.125 0.125 0.125 Hf
```

Space-group type: Fd-3m (227)
Excess energy over the best structure of this formula in the dataset in meV per atom: 48
Theoretical density in kg/m³: 10839
V in Å³/cell: 181.24

---

2.
Entry from the Alexandria database: NaHf3N after structural relaxation (GGA-PBEsol).

Structure (POSCAR):
```
NaHf3N
1.0
4.460 0.000 0.000
0.000 4.460 0.000
0.000 0.000 4.460
Hf Na N
3 1 1
direct
0.000 0.000 0.500 Hf
0.500 0.000 0.000 Hf
0.000 0.500 0.000 Hf
0.500 0.500 0.500 Na
0.000 0.000 0.000 N
```

Space-group type: Pm-3m (221)
Theoretical density in kg/m³: 10715
V in Å³/cell: 88.71
DOS(E_F) in states/eV/f.u.: 3.501
DFT total energy in eV/cell: -43.1

---

3.
Entry from the Alexandria database: NaHf2N after structural relaxation (GGA-PBEsol).

Structure (POSCAR):
```
NaHf2N
1.0
6.225 0.013 0.019
-2.828 5.545 -0.019
-2.828 -2.089 5.137
N Hf Na
2 4 2
direct
0.500 0.250 0.750 N
0.000 0.500 0.500 N
0.850 0.375 0.725 Hf
0.150 0.875 0.525 Hf
0.350 0.475 0.625 Hf
0.650 0.275 0.125 Hf
0.500 0.750 0.250 Na
0.000 0.000 0.000 Na
```

Space-group type: I-42d (122)
Theoretical density in kg/m³: 7365
V in Å³/cell: 177.67
DOS(E_F) in states/eV/f.u.: 3.407
DFT total energy in eV/cell: -62.7

---

4.
Entry from the Alexandria database: NaHfSeN2 after structural relaxation (GGA-PBEsol).

Structure (POSCAR):
```
NaHfSeN2
1.0
4.030 0.000 0.000
0.000 4.030 0.000
0.000 0.000 4.697
Hf N Se Na
1 2 1 1
direct
0.500 0.500 0.500 Hf
0.000 0.500 0.000 N
0.500 0.000 0.000 N
0.000 0.000 0.500 Se
0.000 0.000 0.000 Na
```

Space-group type: P4/mmm (123)
Theoretical density in kg/m³: 6712
V in Å³/cell: 76.31
DOS(E_F) in states/eV/f.u.: 2.823
DFT total energy in eV/cell: -25.7

---

5.
Entry from the Alexandria database: HfNbN3 after structural relaxation (GGA-PBEsol).

Structure (POSCAR):
```
HfNbN3
1.0
-3.037 1.520 -2.056
-0.178 -3.311 -2.184
-2.551 -1.579 2.601
Hf Nb N
1 1 3
direct
0.500 0.500 0.500 Hf
0.000 0.000 0.000 Nb
0.000 0.500 0.000 N
0.500 0.000 0.000 N
0.000 0.000 0.500 N
```

Space-group type: Pm-3m (221)
Theoretical density in kg/m³: 8316
V in Å³/cell: 62.59
DOS(E_F) in states/eV/f.u.: 0.786
DFT total energy in eV/cell: -48.1

---

6.
Entry from the Alexandria database: HfNbSN2 after structural relaxation (GGA-PBEsol).

Structure (POSCAR):
```
HfNbSN2
1.0
-0.190 -2.266 3.250
3.337 1.662 1.354
-2.560 3.357 2.190
Nb N Hf S
1 2 1 1
direct
0.000 0.000 0.000 Nb
0.500 0.000 0.000 N
0.000 0.500 0.000 N
0.500 0.500 0.500 Hf
0.000 0.000 0.500 S
```

Space-group type: P4/mmm (123)
Theoretical density in kg/m³: 7356
V in Å³/cell: 74.83
DOS(E_F) in states/eV/f.u.: 2.586
DFT total energy in eV/cell: -43.4